First-principles (GGA-PBE) data for a relaxed structure of LiTiPt2, as listed in Alexandria via LeMat-Bulk.

crystal system	tetragonal
SG	P4/mmm, No. 123
density of states at the Fermi level	2.10	states/eV/f.u.
E_form	-0.8375	eV per atom
offset from the most stable computed form	27.6	meV per atom
VASP energy	-6.310	eV per atom
total magnetic moment	0.00	μB/f.u.

Cell: 3.2180 3.2180 5.6444 Å, 90.00 90.00 90.00°
With the nearest neighbours (Å) after each atom.
Element x y z (fractional)
Li: 0.5000 0.5000 0.0000  8 Pt 2.67, 2 Ti 2.82
Pt: 0.0000 0.0000 0.7533  4 Li 2.67, 4 Ti 2.69, 2 Pt 2.79-2.86
Ti: 0.5000 0.5000 0.5000  8 Pt 2.69, 2 Li 2.82
Pt: 0.0000 0.0000 0.2467  4 Li 2.67, 4 Ti 2.69, 2 Pt 2.79-2.86